# TeHCl2 | Alexandria via LeMat-Bulk | PBE-GGA | optimized geometry
data_TeHCl2
_cell_length_a 5.841
_cell_length_b 5.841
_cell_length_c 9.392
_cell_angle_alpha 90.00
_cell_angle_beta 90.00
_cell_angle_gamma 90.00
_symmetry_space_group_name_H-M 'I -4 2 d'
_symmetry_Int_Tables_number 122
_symmetry_space_group_name_Hall 'I -4 2bw'
loop_
_atom_site_label
_atom_site_type_symbol
_atom_site_fract_x
_atom_site_fract_y
_atom_site_fract_z
Te1 Te 0.000 0.000 0.000
H1 H 0.000 0.000 0.500
Cl1 Cl 0.092 0.250 0.625
# - density of states at the Fermi level (states/eV/f.u.) = 2.5
# - offset from the most stable computed form (eV per atom) = 0.398

# HfMg2Au | Alexandria via LeMat-Bulk | PBE-GGA | optimized geometry
data_HfMg2Au
_cell_length_a 6.759
_cell_length_b 6.759
_cell_length_c 6.759
_cell_angle_alpha 90.00
_cell_angle_beta 90.00
_cell_angle_gamma 90.00
_symmetry_space_group_name_H-M 'F m -3 m'
_symmetry_Int_Tables_number 225
_symmetry_space_group_name_Hall '-F 4 2 3'
loop_
_atom_site_label
_atom_site_type_symbol
_atom_site_fract_x
_atom_site_fract_y
_atom_site_fract_z
Hf1 Hf 0.000 0.000 0.000
Mg1 Mg 0.250 0.250 0.250
Au1 Au 0.000 0.000 0.500
# - density of states at the Fermi level (states/eV/f.u.) = 2.7
# - offset from the most stable computed form (eV per atom) = 0.219
# - ΔH_f (0 K) (meV/atom) = 14

# RbCuPbCl5 | Alexandria via LeMat-Bulk | PBE-GGA | optimized geometry
data_RbCuPbCl5
_cell_length_a 8.451
_cell_length_b 12.809
_cell_length_c 10.313
_cell_angle_alpha 90.00
_cell_angle_beta 111.34
_cell_angle_gamma 90.00
_symmetry_space_group_name_H-M 'C 1 2/c 1'
_symmetry_Int_Tables_number 15
loop_
_symmetry_equiv_pos_as_xyz
'x,y,z'
'-x,-y,-z'
'-x,y,-z+1/2'
'x,-y,z+1/2'
'x+1/2,y+1/2,z'
'-x+1/2,-y+1/2,-z'
'-x+1/2,y+1/2,-z+1/2'
'x+1/2,-y+1/2,z+1/2'
loop_
_atom_site_label
_atom_site_type_symbol
_atom_site_fract_x
_atom_site_fract_y
_atom_site_fract_z
Rb1 Rb 0.000 0.163 0.250
Cu1 Cu 0.000 0.176 0.750
Pb1 Pb 0.000 0.500 0.000
Cl1 Cl 0.000 0.414 0.250
Cl2 Cl 0.078 0.288 0.610
Cl3 Cl 0.144 0.061 0.920
# - energy relative to the elements, uncorrected (eV per atom) = -1.097
# - density of states at the Fermi level (states/eV/f.u.) = 2.3

# CdReSeBr2 | Alexandria via LeMat-Bulk | PBE-GGA | optimized geometry
data_CdReSeBr2
_cell_length_a 5.279
_cell_length_b 5.279
_cell_length_c 4.764
_cell_angle_alpha 90.00
_cell_angle_beta 90.00
_cell_angle_gamma 90.00
_symmetry_space_group_name_H-M 'P 4/m m m'
_symmetry_Int_Tables_number 123
_symmetry_space_group_name_Hall '-P 4 2'
loop_
_atom_site_label
_atom_site_type_symbol
_atom_site_fract_x
_atom_site_fract_y
_atom_site_fract_z
Cd1 Cd 0.000 0.000 0.000
Re1 Re 0.500 0.500 0.500
Se1 Se 0.500 0.500 0.000
Br1 Br 0.000 0.500 0.500
# - energy relative to the elements, uncorrected (eV per atom) = 0.311
# - density of states at the Fermi level (states/eV/f.u.) = 3.9
# - offset from the most stable computed form (eV per atom) = 0.000

# Ac2PmZn9 | Alexandria via LeMat-Bulk | PBE-GGA | optimized geometry
data_Ac2PmZn9
_cell_length_a 5.6703
_cell_length_b 5.6703
_cell_length_c 26.8607
_cell_angle_alpha 90.00
_cell_angle_beta 90.00
_cell_angle_gamma 120.00
_symmetry_space_group_name_H-M 'R -3 m'
_symmetry_Int_Tables_number 166
_symmetry_space_group_name_Hall '-R 3 2"'
loop_
_atom_site_label
_atom_site_type_symbol
_atom_site_fract_x
_atom_site_fract_y
_atom_site_fract_z
Ac1 Ac 0.0000 0.0000 0.1406
Pm1 Pm 0.0000 0.0000 0.0000
Zn1 Zn 0.0000 0.0000 0.3346
Zn2 Zn 0.0000 0.0000 0.5000
Zn3 Zn 0.0021 0.5011 0.9226
# - density of states at the Fermi level (states/eV/f.u.) = 5.5
# - ΔH_f (0 K) (meV/atom) = -231

# Tc2MoP | Alexandria via LeMat-Bulk | PBE-GGA | optimized geometry
data_Tc2MoP
_cell_length_a 6.102
_cell_length_b 6.102
_cell_length_c 6.102
_cell_angle_alpha 90.00
_cell_angle_beta 90.00
_cell_angle_gamma 90.00
_symmetry_space_group_name_H-M 'F -4 3 m'
_symmetry_Int_Tables_number 216
_symmetry_space_group_name_Hall 'F -4 2 3'
loop_
_atom_site_label
_atom_site_type_symbol
_atom_site_fract_x
_atom_site_fract_y
_atom_site_fract_z
Tc1 Tc 0.000 0.000 0.000
Tc2 Tc 0.250 0.250 0.250
Mo1 Mo 0.000 0.000 0.500
P1 P 0.250 0.250 0.750
# - density of states at the Fermi level (states/eV/f.u.) = 4.9
# - ΔH_f (0 K) (meV/atom) = 107

# Tm3Be3B8 | Alexandria via LeMat-Bulk | PBE-GGA | optimized geometry
data_Tm3Be3B8
_cell_length_a 3.172
_cell_length_b 6.961
_cell_length_c 13.124
_cell_angle_alpha 90.00
_cell_angle_beta 90.00
_cell_angle_gamma 90.00
_symmetry_space_group_name_H-M 'I m m m'
_symmetry_Int_Tables_number 71
_symmetry_space_group_name_Hall '-I 2 2'
loop_
_atom_site_label
_atom_site_type_symbol
_atom_site_fract_x
_atom_site_fract_y
_atom_site_fract_z
Tm1 Tm 0.000 0.000 0.000
Tm2 Tm 0.000 0.000 0.279
Be1 Be 0.000 0.198 0.500
Be2 Be 0.000 0.500 0.000
B1 B 0.000 0.263 0.122
B2 B 0.000 0.354 0.370
# - density of states at the Fermi level (states/eV/f.u.) = 3.6
# - ΔH_f (0 K) (meV/atom) = -260

# ScTcAg2 | Alexandria via LeMat-Bulk | PBE-GGA | optimized geometry
data_ScTcAg2
_cell_length_a 3.833
_cell_length_b 3.833
_cell_length_c 20.491
_cell_angle_alpha 90.00
_cell_angle_beta 90.00
_cell_angle_gamma 90.00
_symmetry_space_group_name_H-M 'I -4 2 d'
_symmetry_Int_Tables_number 122
_symmetry_space_group_name_Hall 'I -4 2bw'
loop_
_atom_site_label
_atom_site_type_symbol
_atom_site_fract_x
_atom_site_fract_y
_atom_site_fract_z
Sc1 Sc 0.000 0.000 0.000
Tc1 Tc 0.000 0.000 0.500
Ag1 Ag 0.245 0.250 0.625
# - density of states at the Fermi level (states/eV/f.u.) = 3.1
# - offset from the most stable computed form (eV per atom) = 0.334
# - ΔH_f (0 K) (meV/atom) = 441

> What is the density of states at the Fermi level in the first record?

2.5 states/eV/f.u.

> density of states at the Fermi level of number 4 (CdReSeBr2)?

3.9 states/eV/f.u.

> Which value of density of states at the Fermi level does entry 1 give?

2.5 states/eV/f.u.